Crystalline LiAgAu2 at its relaxed geometry. Source: Alexandria via LeMat-Bulk, functional PBE.

Structure (CIF):
```
data_LiAgAu2
_symmetry_space_group_name_H-M 'P 1 2/m 1'
_symmetry_Int_Tables_number 10
_symmetry_space_group_name_Hall '-P 2y'
_cell_length_a 2.893
_cell_length_b 4.084
_cell_length_c 5.752
_cell_angle_alpha 90.00
_cell_angle_beta 90.09
_cell_angle_gamma 90.00
loop_
_atom_site_label
_atom_site_type_symbol
_atom_site_fract_x
_atom_site_fract_y
_atom_site_fract_z
Li1 Li 0.000 0.000 0.000
Ag1 Ag 0.000 0.000 0.500
Au1 Au 0.499 0.500 0.242
```

Properties
Energy of formation, eV per atom: -0.294
Fermi-level density of states, states/eV per atom: 0.270
VASP energy, eV for the cell shown: -12.5
Polymorph energy (0 for the lowest one), meV/atom: 17


Crystalline LiLaPN3 at its relaxed geometry. Source: Alexandria via LeMat-Bulk, functional PBE.

Structure (CIF):
```
data_LiLaPN3
_symmetry_space_group_name_H-M 'C 1 2/m 1'
_symmetry_Int_Tables_number 12
_symmetry_space_group_name_Hall '-C 2y'
_cell_length_a 9.010
_cell_length_b 5.941
_cell_length_c 6.429
_cell_angle_alpha 90.00
_cell_angle_beta 116.27
_cell_angle_gamma 90.00
loop_
_atom_site_label
_atom_site_type_symbol
_atom_site_fract_x
_atom_site_fract_y
_atom_site_fract_z
Li1 Li 0.000 0.169 0.000
La1 La 0.202 0.000 0.668
P1 P 0.065 0.500 0.749
N1 N 0.046 0.275 0.313
N2 N 0.242 0.000 0.108
```

Properties
Fermi-level density of states, states/eV per atom: 0.000
VASP energy, eV for the cell shown: -168.5
Formation energy (no corrections), eV/atom: -0.816